[1]
First-principles (PBE) data for an optimized crystal structure of LaDy2YTm, as listed in Alexandria via LeMat-Bulk.

Properties
The value obtained for the density of states at the Fermi level is 7.33 states/eV/f.u. As for the formation enthalpy at 0 K: 0.376 eV/atom. The calculation puts the calculated volume at 176 Å³/f.u. As for the total energy: -92.75 eV/cell.

Unit cell a=8.4267 b=11.5102 c=7.2483 alpha=90.00 beta=90.00 gamma=90.00
Space group Cmcm (No. 63)
One atom of each set of equivalent atoms:
La: 0.0000 0.2315 0.2500 (multiplicity 4)
Dy: 0.1895 0.0000 0.0000 (multiplicity 8)
Y: 0.0000 0.4973 0.7500 (multiplicity 4)
Tm: 0.0000 0.2171 0.7500 (multiplicity 4)

[2]
First-principles (PBE) data for an optimized crystal structure of La6Dy2YTm, as listed in Alexandria via LeMat-Bulk.

Properties
The value obtained for the density of states at the Fermi level is 10.96 states/eV/f.u. As for the formation enthalpy at 0 K: 0.118 eV/atom. The calculation puts the calculated volume at 347 Å³/f.u. As for the total energy: -194.11 eV/cell.

Unit cell a=9.8364 b=15.2041 c=9.3103 alpha=90.00 beta=93.42 gamma=90.00
Space group C2/c (No. 15)
One atom of each set of equivalent atoms:
La: 0.0745 0.1560 0.4178 (multiplicity 8)
La: 0.0776 0.3678 0.6056 (multiplicity 8)
La: 0.2378 0.2194 0.8192 (multiplicity 8)
Dy: 0.2481 0.0444 0.0630 (multiplicity 8)
Y: 0.0000 0.0559 0.7500 (multiplicity 4)
Tm: 0.0000 0.4212 0.2500 (multiplicity 4)

[3]
First-principles (PBE) data for an optimized crystal structure of La2DyY6Tm3, as listed in Alexandria via LeMat-Bulk.

Properties
The value obtained for the density of states at the Fermi level is 18.23 states/eV/f.u. As for the formation enthalpy at 0 K: 0.027 eV/atom. The calculation puts the calculated volume at 389 Å³/f.u. As for the total energy: -132.66 eV/cell.

Unit cell a=6.2051 b=10.7440 c=11.8424 alpha=90.00 beta=100.05 gamma=90.00
Space group C2/m (No. 12)
One atom of each set of equivalent atoms:
La: 0.0000 0.1665 0.0000 (multiplicity 4)
Dy: 0.0000 0.5000 0.0000 (multiplicity 2)
Y: 0.2466 0.5000 0.7445 (multiplicity 4)
Y: 0.2484 0.1661 0.7446 (multiplicity 8)
Tm: 0.0000 0.0000 0.5000 (multiplicity 2)
Tm: 0.0000 0.3337 0.5000 (multiplicity 4)

[4]
First-principles (PBE) data for an optimized crystal structure of LaDyY2Tm, as listed in Alexandria via LeMat-Bulk.

Properties
The value obtained for the density of states at the Fermi level is 7.49 states/eV/f.u. As for the formation enthalpy at 0 K: 0.369 eV/atom. The calculation puts the calculated volume at 176 Å³/f.u. As for the total energy: -100.33 eV/cell.

Unit cell a=8.4551 b=11.5048 c=7.2530 alpha=90.00 beta=90.00 gamma=90.00
Space group Cmcm (No. 63)
One atom of each set of equivalent atoms:
La: 0.0000 0.2346 0.2500 (multiplicity 4)
Dy: 0.0000 0.4995 0.7500 (multiplicity 4)
Y: 0.1907 0.0000 0.0000 (multiplicity 8)
Tm: 0.0000 0.2199 0.7500 (multiplicity 4)